The following is a DFT calculation (PBE) of an optimized crystal structure of Pm2Pa3S8.

Cell: 14.208 7.979 6.595 Å, 90.00 108.68 90.00°
Space group C2/m (No. 12)
One atom of each set of equivalent atoms:
1 Pm 0.238 0.000 0.164
2 Pa 0.000 0.251 0.500
3 Pa 0.000 0.500 0.000
4 S 0.109 0.000 0.414
5 S 0.121 0.500 0.423
6 S 0.125 0.267 0.916

Offset from the most stable computed form (eV/atom): 0.033
Calculated volume (Å³ per atom): 27.2
D(E_F) (states/eV/cell): 24.526
Uncorrected formation energy (eV/f.u.): -21.9
Magnetic moment (Bohr magnetons per cell): 9.57